(1)
Ca2Ga3Ni | PBE | relaxed

a = 9.3146 Å, b = 7.1430 Å, c = 8.0003 Å
α = 90.00°, β = 100.03°, γ = 90.00°
With the nearest neighbours (Å) after each atom.
Space group C2/c (No. 15)
Inequivalent atoms, fractional coordinates:
Ca (0.1643, 0.1573, 0.1549) x8  7 Ga 2.99-3.34, 2 Ni 3.06-3.28
Ga (0.0000, 0.1740, 0.7500) x4  1 Ni 2.31
Ga (0.1230, 0.3696, 0.5082) x8  2 Ni 2.38-2.58
Ni (0.0000, 0.4981, 0.7500) x4  5 Ga 2.31-2.58

Values from the calculation:
ΔE_f, meV per atom: -384
Final energy, eV/cell: -84.68
Size of the total moment, μB/f.u.: 0.000
Volume, Å³/f.u.: 131.0

---

(2)
Ca4Ga3Ni2 | PBE | relaxed

a = 15.5707 Å, b = 3.9310 Å, c = 7.1492 Å
α = 90.00°, β = 108.98°, γ = 90.00°
With the nearest neighbours (Å) after each atom.
Space group C2/m (No. 12)
Inequivalent atoms, fractional coordinates:
Ca (0.0776, 0.0000, 0.3792) x4  2 Ni 2.82-3.13
Ca (0.2295, 0.5000, 0.1848) x4  3 Ni 3.06-3.32, 4 Ga 3.15-3.38
Ga (0.0000, 0.5000, 0.0000) x2  4 Ni 2.46
Ga (0.1003, 0.5000, 0.7417) x4  2 Ni 2.51, 1 Ga 2.78
Ni (0.0846, 0.0000, 0.9462) x4  4 Ga 2.46-2.51

Values from the calculation:
ΔE_f, meV per atom: -378
Final energy, eV/cell: -64.10
Size of the total moment, μB/f.u.: 0.000
Volume, Å³/f.u.: 206.9

---

(3)
Ca3Ga6Ni5 | PBE | relaxed

a = 4.1215 Å, b = 12.4088 Å, c = 9.1189 Å
α = 90.00°, β = 90.00°, γ = 90.00°
With the nearest neighbours (Å) after each atom.
Space group Pmmn (No. 59, origin choice 2)
Inequivalent atoms, fractional coordinates:
Ca (0.2500, 0.0544, 0.2473) x4  8 Ga 2.91-3.12, 6 Ni 2.93-3.20
Ca (0.2500, 0.7500, 0.2674) x2  6 Ni 2.90-3.12, 2 Ga 3.19
Ga (0.2500, 0.0673, 0.5857) x4  4 Ni 2.56-2.60, 1 Ga 2.71
Ga (0.2500, 0.2500, 0.0322) x2  4 Ni 2.48-2.64
Ga (0.2500, 0.2500, 0.4232) x2  4 Ni 2.48, 2 Ga 2.71
Ga (0.2500, 0.5986, 0.9844) x4  4 Ni 2.46-2.60
Ni (0.2500, 0.0902, 0.8693) x4  5 Ga 2.46-2.60
Ni (0.2500, 0.6402, 0.5477) x4  5 Ga 2.48-2.60, 2 Ni 2.58-2.73
Ni (0.2500, 0.7500, 0.7877) x2  2 Ni 2.58, 6 Ga 2.60-2.82

Values from the calculation:
ΔE_f, meV per atom: -430
Final energy, eV/cell: -118.18
Size of the total moment, μB/f.u.: 0.000
Volume, Å³/f.u.: 233.2

---

(4)
Ca2GaNi2 | PBE | relaxed

a = 5.4865 Å, b = 5.4865 Å, c = 7.1025 Å
α = 90.00°, β = 90.00°, γ = 90.00°
With the nearest neighbours (Å) after each atom.
Space group I4/mmm (No. 139)
Inequivalent atoms, fractional coordinates:
Ca (0.0000, 0.5000, 0.2500) x4  4 Ni 2.81
Ga (0.0000, 0.0000, 0.0000) x2  2 Ni 2.38
Ni (0.0000, 0.0000, 0.3346) x4  1 Ni 2.35, 1 Ga 2.38

Values from the calculation:
ΔE_f, meV per atom: -105
Final energy, eV/cell: -38.23
Size of the total moment, μB/f.u.: 0.000
Volume, Å³/f.u.: 106.9

---

(5)
Ca2Ga3Ni | PBE | relaxed

a = 10.5423 Å, b = 4.3518 Å, c = 7.2160 Å
α = 90.00°, β = 132.32°, γ = 90.00°
With the nearest neighbours (Å) after each atom.
Space group Cm (No. 8)
Inequivalent atoms, fractional coordinates:
Ca (0.0000, 0.0000, 0.0000) x2  9 Ga 3.04-3.32, 3 Ni 3.29-3.33
Ca (0.1097, 0.0000, 0.5981) x2  8 Ga 3.05-3.28, 3 Ni 3.08-3.10
Ga (0.1929, 0.5000, 0.9830) x2  1 Ni 2.50, 2 Ga 2.65
Ga (0.2376, 0.5000, 0.4135) x2  2 Ni 2.48
Ga (0.3828, 0.0000, 0.2080) x2  1 Ni 2.57, 2 Ga 2.65
Ni (0.3907, 0.0000, 0.5712) x2  4 Ga 2.48-2.57

Values from the calculation:
ΔE_f, meV per atom: -477
Final energy, eV/cell: -43.46
Size of the total moment, μB/f.u.: 0.000
Volume, Å³/f.u.: 122.4

---

(6)
CaGa9Ni2 | PBE | relaxed

a = 7.9825 Å, b = 7.9825 Å, c = 3.8831 Å
α = 90.00°, β = 90.00°, γ = 120.00°
With the nearest neighbours (Å) after each atom.
Space group P6/mmm (No. 191)
Inequivalent atoms, fractional coordinates:
Ca (0.0000, 0.0000, 0.0000) x1  12 Ga 3.43
Ga (0.0000, 0.5000, 0.0000) x3  2 Ni 2.30
Ga (0.2048, 0.4096, 0.5000) x6  2 Ni 2.63, 6 Ga 2.83-2.85
Ni (0.3333, 0.6667, 0.0000) x2  3 Ga 2.30

Values from the calculation:
ΔE_f, meV per atom: -276
Final energy, eV/cell: -44.12
ΔE to the lowest computed polymorph, eV per atom: 0.000
Size of the total moment, μB/f.u.: 0.000
Volume, Å³/f.u.: 214.3

---

- Which value of volume does entry 1 give?
  131.0 Å³/f.u.

---

- Which of these has the highest final energy?
  Ca2GaNi2

---

- Among the records above, which one has the lowest ΔE_f?
  number 5

---

- Which of these has the highest final energy?
  Ca2GaNi2